Computed, not measured: a relaxed structure of CsTl2V2O6 at the GGA+U level of DFT.

- total energy (eV/atom) = -5.93
- space-group type = No. 166

Cell: 8.7095 8.7095 8.7095 Å, 43.95 43.95 43.95°
With the nearest neighbours (Å) after each atom.
Fractional coordinates of all 11 atoms:
1 Cs 0.0000 0.0000 0.0000  6 O 3.10
2 Tl 0.1702 0.1702 0.1702  3 O 2.67
3 Tl 0.8298 0.8298 0.8298  3 O 2.67
4 V 0.4394 0.4394 0.4394  3 O 1.71
5 V 0.5606 0.5606 0.5606  3 O 1.71
6 O 0.2679 0.7187 0.7187  1 V 1.71
7 O 0.2813 0.2813 0.7321  1 V 1.71
8 O 0.2813 0.7321 0.2813  1 V 1.71
9 O 0.7187 0.2679 0.7187  1 V 1.71
10 O 0.7187 0.7187 0.2679  1 V 1.71
11 O 0.7321 0.2813 0.2813  1 V 1.71